# 1
Here is a relaxed LiBe2P2 crystal from the Alexandria database. Energies are from PBE.

Summary:
**E_form**: -29.9 kJ/mol of atoms
**DOS at the Fermi energy**: 6.4 states/eV/cell
**E above lowest polymorph**: 0.000 eV per atom
**Total magnetic moment**: 0.00 μB per formula unit

Cell: 8.6143 3.4407 9.4747 Å, 90.00 90.00 90.00°
With the nearest neighbours (Å) after each atom.
Space group Pnma (No. 62)
Unique sites:
Li1 0.2396 0.2500 0.1966 x4  5 P 2.65-2.92, 1 Be 2.89
Be1 0.0336 0.7500 0.3807 x4  4 P 2.12-2.19
Be2 0.0912 0.7500 0.9604 x4  4 P 2.16-2.17
P1 0.0245 0.2500 0.8365 x4  4 Be 2.12-2.17
P2 0.1571 0.2500 0.4666 x4  4 Be 2.17-2.19


# 2
Here is a relaxed LiBe2P crystal from the Alexandria database. Energies are from PBE.

Summary:
**E_form**: 20.8 kJ/mol of atoms
**DOS at the Fermi energy**: 2.3 states/eV/cell
**Total magnetic moment**: 0.00 μB per formula unit

Cell: 3.2961 3.7529 7.3630 Å, 90.00 90.00 90.00°
With the nearest neighbours (Å) after each atom.
Space group Cmm2 (No. 35)
Unique sites:
Li1 0.0000 0.0000 0.0000 x2  4 Li 2.50, 4 Be 2.61-2.76, 4 P 2.63-2.78
Be1 0.0000 0.0000 0.4795 x2  8 Be 2.24-2.50, 2 P 2.43
Be2 0.0000 0.5000 0.2745 x2  8 Be 2.24-2.50
P1 0.0000 0.5000 0.7213 x2  4 Be 2.43-2.59, 4 P 2.50, 2 Li 2.63


# 3
Here is a relaxed Li2BeP crystal from the Alexandria database. Energies are from PBE.

Summary:
**E_form**: -6.4 kJ/mol of atoms
**DOS at the Fermi energy**: 2.7 states/eV/cell
**Total magnetic moment**: 0.00 μB per formula unit

Cell: 4.8570 7.9024 2.4828 Å, 90.00 90.00 90.00°
With the nearest neighbours (Å) after each atom.
Space group Cmmm (No. 65)
Unique sites:
Li1 0.2500 0.2500 0.0000 x4  4 Li 2.43-2.48, 4 Be 2.63, 4 P 2.63
Be1 0.0000 0.0000 0.5000 x2  2 P 2.43, 2 Be 2.48, 8 Li 2.63
P1 0.0000 0.5000 0.5000 x2  2 Be 2.43, 2 P 2.48, 8 Li 2.63


# 4
Here is a relaxed LiBe2P crystal from the Alexandria database. Energies are from PBE.

Summary:
**E_form**: 24.2 kJ/mol of atoms
**DOS at the Fermi energy**: 5.4 states/eV/cell
**Total magnetic moment**: 0.00 μB per formula unit

Cell: 5.5877 5.5877 5.5877 Å, 90.00 90.00 90.00°
With the nearest neighbours (Å) after each atom.
Space group F-43m (No. 216)
Unique sites:
Li1 0.0000 0.0000 0.0000 x4  4 Be 2.42, 4 P 2.42
Be1 0.0000 0.0000 0.5000 x4  4 Be 2.42, 4 P 2.42
Be2 0.2500 0.2500 0.2500 x4  4 Be 2.42, 4 Li 2.42
P1 0.2500 0.2500 0.7500 x4  4 Li 2.42, 4 Be 2.42


The lowest DOS at the Fermi energy belongs to which entry?
number 2


total magnetic moment of number 4 (LiBe2P)?
0.00 μB per formula unit


Copy entry 3 word for word.
Here is a relaxed Li2BeP crystal from the Alexandria database. Energies are from PBE.

Summary:
**E_form**: -6.4 kJ/mol of atoms
**DOS at the Fermi energy**: 2.7 states/eV/cell
**Total magnetic moment**: 0.00 μB per formula unit

Cell: 4.8570 7.9024 2.4828 Å, 90.00 90.00 90.00°
With the nearest neighbours (Å) after each atom.
Space group Cmmm (No. 65)
Unique sites:
Li1 0.2500 0.2500 0.0000 x4  4 Li 2.43-2.48, 4 Be 2.63, 4 P 2.63
Be1 0.0000 0.0000 0.5000 x2  2 P 2.43, 2 Be 2.48, 8 Li 2.63
P1 0.0000 0.5000 0.5000 x2  2 Be 2.43, 2 P 2.48, 8 Li 2.63